Entry 1:
Rh2WO6 (PBE with a Hubbard U, optimized geometry); relative energy among the computed polymorphs = 62 meV per atom
1.0
5.113 0.000 0.000
-2.556 4.428 0.000
0.000 0.000 4.338
Rh W O
2 1 6
Direct
0.333 0.667 0.000
0.667 0.333 0.000
0.000 0.000 0.500
0.000 0.324 0.253
0.000 0.676 0.747
0.324 0.000 0.253
0.324 0.324 0.747
0.676 0.000 0.747
0.676 0.676 0.253

Entry 2:
Rh2WO6 (PBE with a Hubbard U, optimized geometry); relative energy among the computed polymorphs = 0 meV per atom
1.0
4.687 0.000 0.000
0.000 4.687 0.000
0.000 0.000 9.251
Rh W O
4 2 12
Direct
0.000 0.000 0.168
0.000 0.000 0.832
0.500 0.500 0.332
0.500 0.500 0.668
0.000 0.000 0.500
0.500 0.500 0.000
0.196 0.196 0.343
0.196 0.196 0.657
0.200 0.200 0.000
0.300 0.700 0.500
0.304 0.696 0.157
0.304 0.696 0.843
0.696 0.304 0.157
0.696 0.304 0.843
0.700 0.300 0.500
0.800 0.800 0.000
0.804 0.804 0.343
0.804 0.804 0.657

Entry 3:
ZrRhW2O (PBE with a Hubbard U, optimized geometry); energy = -29.29 eV per cell
1.0
5.437 0.000 0.000
0.000 5.437 0.000
0.000 0.000 3.882
Zr Rh W O
1 1 2 1
Direct
0.000 0.000 0.000
0.500 0.500 0.500
0.000 0.500 0.000
0.500 0.000 0.000
0.000 0.000 0.500